Compound: ZrCuIr
Source: Alexandria via LeMat-Bulk
Functional: PBE-GGA
Structure: relaxed

Cell: 4.3704 4.3704 4.3704 Å, 60.00 60.00 60.00°
With the nearest neighbours (Å) after each atom.
Fractional positions:
Ir 0.5000 0.5000 0.5000  4 Zr 2.68
Zr 0.2500 0.2500 0.2500  4 Ir 2.68, 4 Cu 2.68
Cu 0.0000 0.0000 0.0000  4 Zr 2.68

Results
Calculated density   9.8 g/cm3
DOS(E_F)   0.449 states/eV/f.u.
Energy of formation from the pure elements   0.07 eV per atom